Density functional theory data (PBE) for Zr4CoAs after structural relaxation.

Values from the calculation:
- magnetic moment (Bohr magnetons per cell) = 0.9
- space group = F-43m, No. 216
- DFT formation energy (meV per atom) = 530

```
Zr4CoAs
1.0
0.0000 3.9682 3.9682
3.9682 0.0000 3.9682
3.9682 3.9682 0.0000
Zr Co As
4 1 1
Direct
0.3743 0.3743 0.3743
0.3743 0.3743 0.8771
0.3743 0.8771 0.3743
0.8771 0.3743 0.3743
0.0000 0.0000 0.0000
0.7500 0.7500 0.7500
```